No. 1
Below is crystalline In2TcRh at its relaxed geometry, with properties calculated at the PBE level.

For the energy above the lowest structure with this stoichiometry, the calculation gives 0.64 eV/f.u.

a = 8.8868 Å, b = 2.9579 Å, c = 5.4551 Å
α = 90.00°, β = 100.01°, γ = 90.00°
Last column: nearest neighbours and their distance in Å.
Space group C2/m (No. 12)
Inequivalent atoms, fractional coordinates:
In: 0.2482 0.0000 0.2466 x4  3 Rh 2.80, 3 Tc 2.80-2.83, 6 In 2.96-3.13
Tc: 0.0000 0.0000 0.5000 x2  6 In 2.80-2.83, 2 Tc 2.96, 4 Rh 3.10
Rh: 0.0000 0.5000 0.0000 x2  6 In 2.80, 2 Rh 2.96, 4 Tc 3.10


No. 2
Below is crystalline LiYGePt3 at its relaxed geometry, with properties calculated at the PBE level.

a = 5.6842 Å, b = 12.8600 Å, c = 5.7255 Å
α = 90.00°, β = 90.00°, γ = 90.00°
Last column: nearest neighbours and their distance in Å.
Space group Cmcm (No. 63)
Inequivalent atoms, fractional coordinates:
Li: 0.0000 0.1211 0.2500 x4  4 Pt 2.51, 1 Y 2.72
Y: 0.0000 0.3325 0.2500 x4  1 Li 2.72, 6 Pt 2.86-2.98, 2 Ge 2.93
Ge: 0.0000 0.3803 0.7500 x4  5 Pt 2.47-2.57
Pt: 0.0000 0.1886 0.7500 x4  1 Ge 2.47
Pt: 0.2385 0.0000 0.0000 x8  2 Li 2.51, 2 Ge 2.57, 1 Pt 2.71


Result set for formation energy from the elements: 0.147, -0.701 eV/atom, one per record in the order listed.
Result set for V: 71, 105 Å³/f.u., one per record in the order listed.
Result set for calculated density: 10.1, 12.0 g cm⁻³, one per record in the order listed.